A plane-wave DFT calculation with PBE was carried out for a relaxed structure of NiMo2Ru.

Summary:
Crystal system ... monoclinic
Size of the total moment ... 0.0 μB per formula unit
DOS at the Fermi energy ... 1.017 states/eV/atom
Electronic total energy ... -9.16 eV/atom

The structure in extended XYZ format:
```
4
Lattice="3.828 0.000 0.000 0.000 2.756 0.024 0.000 2.703 5.399" Properties=species:S:1:pos:R:3 pbc="T T T"
Mo 0.000 2.737 2.701
Mo 0.000 2.748 0.034
Ni 1.914 1.365 1.356
Ru 1.914 4.094 4.067
```